1.
Compound: Cs3Li5Cl12
Source: Alexandria
Functional: PBE
Structure: optimized geometry

Values from the calculation:
* mass density: 2.38 g/cm3
* formation energy without anion corrections: -1.2895 eV/atom
* calculated volume: 29.99 A^3/atom

Cell: 14.6068 14.6068 14.6068 Å, 109.47 109.47 109.47°
Closest atoms and distances in Å follow each position.
Fractional coordinates of all 80 atoms:
Cl 0.9154 0.8151 0.8198  2 Li 2.39-2.57
Cl 0.3151 0.4954 0.3997  2 Li 2.39-2.57
Cs 0.6250 0.2500 0.3750  8 Cl 3.47-3.63
Cl 0.5046 0.8198 0.9044  2 Li 2.39-2.57
Li 0.0000 0.5000 0.5000  6 Cl 2.57
Li 0.6250 0.8750 0.2500  4 Cl 2.39
Li 0.2500 0.8750 0.1250  4 Cl 2.39
Cl 0.8997 0.0846 0.9044  2 Li 2.39-2.57
Cl 0.0046 0.4044 0.3198  2 Li 2.39-2.57
Cl 0.6849 0.1802 0.5846  2 Li 2.39-2.57
Li 0.7500 0.1250 0.8750  4 Cl 2.39
Cl 0.3997 0.9954 0.3151  2 Li 2.39-2.57
Cl 0.8151 0.8997 0.9954  2 Li 2.39-2.57
Cl 0.9954 0.3997 0.8151  2 Li 2.39-2.57
Cl 0.6802 0.5846 0.1849  2 Li 2.39-2.57
Li 0.5000 0.5000 0.5000  6 Cl 2.57
Li 0.6250 0.7500 0.8750  4 Cl 2.39
Cl 0.6003 0.0046 0.6849  2 Li 2.39-2.57
Cs 0.8750 0.7500 0.1250  8 Cl 3.47-3.63
Cl 0.1003 0.1849 0.5046  2 Li 2.39-2.57
Cl 0.0956 0.6802 0.4954  2 Li 2.39-2.57
Li 0.5000 0.0000 0.5000  6 Cl 2.57
Cl 0.5046 0.6849 0.1003  2 Li 2.39-2.57
Cl 0.9954 0.5956 0.6802  2 Li 2.39-2.57
Cl 0.1003 0.9154 0.0956  2 Li 2.39-2.57
Cs 0.8750 0.1250 0.2500  8 Cl 3.47-3.63
Li 0.0000 0.5000 0.0000  6 Cl 2.57
Li 0.1250 0.3750 0.2500  4 Cl 2.39
Cs 0.6250 0.3750 0.7500  8 Cl 3.47-3.63
Cs 0.3750 0.6250 0.2500  8 Cl 3.47-3.63
Li 0.7500 0.6250 0.3750  4 Cl 2.39
Cl 0.3198 0.9044 0.0046  2 Li 2.39-2.57
Cl 0.9154 0.1003 0.5956  2 Li 2.39-2.57
Cl 0.0956 0.4154 0.1003  2 Li 2.39-2.57
Cl 0.4154 0.3198 0.3151  2 Li 2.39-2.57
Li 0.3750 0.2500 0.1250  4 Cl 2.39
Cs 0.7500 0.8750 0.6250  8 Cl 3.47-3.63
Li 0.0000 0.0000 0.5000  6 Cl 2.57
Li 0.5000 0.5000 0.0000  6 Cl 2.57
Cl 0.1802 0.6849 0.0846  2 Li 2.39-2.57
Cl 0.0846 0.8997 0.4044  2 Li 2.39-2.57
Cl 0.1849 0.0846 0.6802  2 Li 2.39-2.57
Li 0.1250 0.7500 0.3750  4 Cl 2.39
Cl 0.6849 0.5046 0.6003  2 Li 2.39-2.57
Cl 0.5846 0.6802 0.6849  2 Li 2.39-2.57
Cl 0.6802 0.0956 0.9954  2 Li 2.39-2.57
Cl 0.4954 0.3151 0.8997  2 Li 2.39-2.57
Cl 0.6003 0.5956 0.4154  2 Li 2.39-2.57
Li 0.5000 0.0000 0.0000  6 Cl 2.57
Cl 0.5956 0.6003 0.9154  2 Li 2.39-2.57
Li 0.3750 0.1250 0.7500  4 Cl 2.39
Cl 0.1849 0.1003 0.0046  2 Li 2.39-2.57
Cl 0.9044 0.5846 0.8997  2 Li 2.39-2.57
Cs 0.1250 0.8750 0.7500  8 Cl 3.47-3.63
Cs 0.1250 0.2500 0.8750  8 Cl 3.47-3.63
Cl 0.5846 0.9044 0.3997  2 Li 2.39-2.57
Cl 0.4044 0.3997 0.0846  2 Li 2.39-2.57
Cs 0.3750 0.7500 0.6250  8 Cl 3.47-3.63
Cl 0.0846 0.1849 0.1802  2 Li 2.39-2.57
Cl 0.3151 0.8198 0.4154  2 Li 2.39-2.57
Li 0.2500 0.3750 0.6250  4 Cl 2.39
Li 0.8750 0.6250 0.7500  4 Cl 2.39
Cl 0.8997 0.8151 0.4954  2 Li 2.39-2.57
Cl 0.9044 0.3198 0.5046  2 Li 2.39-2.57
Cl 0.0046 0.6003 0.1849  2 Li 2.39-2.57
Li 0.8750 0.2500 0.6250  4 Cl 2.39
Cl 0.5956 0.9954 0.1802  2 Li 2.39-2.57
Cs 0.2500 0.1250 0.3750  8 Cl 3.47-3.63
Cs 0.2500 0.6250 0.8750  8 Cl 3.47-3.63
Cl 0.8151 0.9154 0.3198  2 Li 2.39-2.57
Cl 0.4154 0.0956 0.6003  2 Li 2.39-2.57
Li 0.0000 0.0000 0.0000  6 Cl 2.57
Cl 0.3997 0.4044 0.5846  2 Li 2.39-2.57
Cl 0.4044 0.0046 0.8198  2 Li 2.39-2.57
Cl 0.3198 0.4154 0.8151  2 Li 2.39-2.57
Cl 0.4954 0.1802 0.0956  2 Li 2.39-2.57
Cl 0.1802 0.4954 0.5956  2 Li 2.39-2.57
Cs 0.7500 0.3750 0.1250  8 Cl 3.47-3.63
Cl 0.8198 0.5046 0.4044  2 Li 2.39-2.57
Cl 0.8198 0.3151 0.9154  2 Li 2.39-2.57

=====

2.
Compound: CsLiCl2
Source: Alexandria
Functional: PBE
Structure: optimized geometry

Values from the calculation:
* mass density: 2.83 g/cm3
* formation energy without anion corrections: -1.8730 eV/atom
* calculated volume: 30.92 A^3/atom

Cell: 7.4958 7.4958 6.8905 Å, 57.05 57.05 90.00°
Closest atoms and distances in Å follow each position.
Fractional coordinates of all 8 atoms:
Li 0.2500 0.7500 0.5000  4 Cl 2.40
Cl 0.2391 0.6250 0.2500  2 Li 2.40
Cs 0.0000 0.0000 0.0000  4 Cl 3.49
Li 0.5000 0.5000 0.0000  4 Cl 2.40
Cl 0.8750 0.7609 0.7500  2 Li 2.40
Cs 0.7500 0.2500 0.5000  4 Cl 3.49
Cl 0.3750 0.4891 0.7500  2 Li 2.40
Cl 0.5109 0.1250 0.2500  2 Li 2.40

=====

3.
Compound: CsLi2Cl2
Source: Alexandria
Functional: PBE
Structure: optimized geometry

Values from the calculation:
* mass density: 1.65 g/cm3
* formation energy without anion corrections: -1.3475 eV/atom
* calculated volume: 43.86 A^3/atom

Cell: 4.5717 4.5717 10.9804 Å, 77.98 77.98 90.00°
Closest atoms and distances in Å follow each position.
Fractional coordinates of all 5 atoms:
Cs 0.0000 0.0000 0.0000  4 Cs 4.57
Cl 0.7090 0.7090 0.5819  4 Li 2.44
Cl 0.2910 0.2910 0.4181  4 Li 2.44
Li 0.2500 0.7500 0.5000  4 Cl 2.44
Li 0.7500 0.2500 0.5000  4 Cl 2.44

=====

4.
Compound: CsLiCl2
Source: Alexandria
Functional: PBE
Structure: optimized geometry

Values from the calculation:
* mass density: 2.88 g/cm3
* formation energy without anion corrections: -1.8895 eV/atom
* calculated volume: 30.39 A^3/atom

Cell: 4.1972 7.3353 8.9548 Å, 114.16 103.56 90.00°
Closest atoms and distances in Å follow each position.
Fractional coordinates of all 8 atoms:
Cs 0.9705 0.9192 0.5144  8 Cl 3.54-3.72
Cl 0.3307 0.5285 0.2356  2 Li 2.38
Cl 0.3305 0.0310 0.2353  2 Li 2.38
Cl 0.6507 0.0999 0.8757  2 Li 2.47
Cl 0.0100 0.4595 0.5952  2 Li 2.47
Li 0.4270 0.3767 0.4298  4 Cl 2.38-2.47
Cs 0.6908 0.6403 0.9564  8 Cl 3.54-3.72
Li 0.2333 0.1829 0.0411  4 Cl 2.38-2.47

=====

5.
Compound: CsLiCl2
Source: Alexandria
Functional: PBE
Structure: optimized geometry

Values from the calculation:
* mass density: 1.84 g/cm3
* formation energy without anion corrections: -1.7685 eV/atom
* calculated volume: 47.62 A^3/atom

Cell: 8.5439 8.5439 8.5439 Å, 35.76 35.76 35.76°
Closest atoms and distances in Å follow each position.
Fractional coordinates of all 4 atoms:
Cs 0.5000 0.5000 0.5000  6 Cl 3.53
Cl 0.0910 0.0910 0.0910  1 Li 2.18
Li 0.0000 0.0000 0.0000  2 Cl 2.18
Cl 0.9090 0.9090 0.9090  1 Li 2.18

=====

6.
Compound: Cs2Li3Cl5
Source: Alexandria
Functional: PBE
Structure: optimized geometry

Values from the calculation:
* mass density: 2.68 g/cm3
* formation energy without anion corrections: -1.8269 eV/atom
* calculated volume: 28.76 A^3/atom

Cell: 6.9405 10.7460 10.7460 Å, 50.20 71.16 71.16°
Closest atoms and distances in Å follow each position.
Fractional coordinates of all 20 atoms:
Cl 0.0620 0.6880 0.6880  2 Li 2.60
Cl 0.2500 0.5000 0.5000  4 Li 2.47
Li 0.9116 0.6649 0.5119  5 Cl 2.47-2.64
Cl 0.4380 0.3120 0.3120  2 Li 2.60
Cs 0.1721 0.6459 0.0098  5 Cl 3.39-3.50
Cl 0.5687 0.7943 0.0683  3 Li 2.48-2.64
Cs 0.3279 0.9902 0.3541  5 Cl 3.39-3.50
Li 0.4116 0.5119 0.6649  5 Cl 2.47-2.64
Cl 0.9313 0.9317 0.2057  3 Li 2.48-2.64
Li 0.2500 0.0000 0.0000  4 Cl 2.48
Cl 0.7500 0.5000 0.5000  4 Li 2.47
Li 0.0884 0.3351 0.4881  5 Cl 2.47-2.64
Cs 0.6721 0.0098 0.6459  5 Cl 3.39-3.50
Li 0.7500 0.0000 0.0000  4 Cl 2.48
Cl 0.4313 0.2057 0.9317  3 Li 2.48-2.64
Cl 0.0687 0.0683 0.7943  3 Li 2.48-2.64
Li 0.5884 0.4881 0.3351  5 Cl 2.47-2.64
Cl 0.5620 0.6880 0.6880  2 Li 2.60
Cl 0.9380 0.3120 0.3120  2 Li 2.60
Cs 0.8279 0.3541 0.9902  5 Cl 3.39-3.50